[1]
! Na3Tb2DyPb3 (PBE, optimized geometry); values from VASP
&SYSTEM
  ibrav = 0, nat = 9, ntyp = 4
/
ATOMIC_SPECIES
Tb 158.93 Tb.upf
Dy 162.50 Dy.upf
Na 22.99 Na.upf
Pb 207.20 Pb.upf
CELL_PARAMETERS angstrom
-0.706 3.298 -3.973
-3.613 -3.600 1.072
-4.807 6.749 6.457
ATOMIC_POSITIONS angstrom
Tb -4.249 0.952 1.545
Tb -5.847 3.196 3.693
Dy -2.644 -1.300 -0.609
Na -4.079 4.373 0.937
Na -3.930 5.517 5.279
Na -0.877 1.232 1.179
Pb -2.404 3.374 3.229
Pb -2.440 2.073 -1.264
Pb -5.718 6.674 3.138
! **Final energy**: -3.432 eV/atom



[2]
! LiPmTh (PBE, optimized geometry); values from VASP
&SYSTEM
  ibrav = 0, nat = 3, ntyp = 3
/
ATOMIC_SPECIES
Li 6.94 Li.upf
Pm 145.00 Pm.upf
Th 232.04 Th.upf
CELL_PARAMETERS angstrom
4.893 -1.095 -0.331
2.376 -2.093 3.902
1.491 -4.792 -0.243
ATOMIC_POSITIONS angstrom
Li 0.000 0.000 0.000
Pm 2.190 -1.995 0.832
Th 6.570 -5.985 2.496
! **Final energy**: -4.087 eV/atom
! **Distance to the lowest polymorph of the same formula**: 0 kJ/mol of formula units



[3]
! LuAlPt (PBE, optimized geometry); values from VASP
&SYSTEM
  ibrav = 0, nat = 12, ntyp = 3
/
ATOMIC_SPECIES
Pt 195.08 Pt.upf
Al 26.98 Al.upf
Lu 174.97 Lu.upf
CELL_PARAMETERS angstrom
6.743 0.000 0.000
0.000 4.366 0.000
0.000 0.000 7.728
ATOMIC_POSITIONS angstrom
Pt 5.177 1.091 6.812
Pt 1.566 3.274 0.915
Pt 1.806 1.091 4.779
Pt 4.937 3.274 2.948
Al 2.382 3.274 3.383
Al 0.989 1.091 7.247
Al 5.754 3.274 0.481
Al 4.361 1.091 4.344
Lu 0.195 1.091 2.465
Lu 6.548 3.274 5.263
Lu 3.566 1.091 1.399
Lu 3.177 3.274 6.328
! **Final energy**: -5.965 eV/atom